[1]
KReMo2: optimized geometry, PBE.

Final energy in eV per atom: -7.713
E above lowest polymorph in meV per atom: 354
E_form in eV/atom: 1.09
DOS at the Fermi energy in states/eV per atom: 1.0505

Cell: 4.7472 4.7472 7.4342 Å, 91.28 91.28 32.98°
Atoms (fractional coordinates):
K (0.0000, 0.0000, 0.0000)
Re (0.5000, 0.5000, 0.5000)
Mo (0.2384, 0.2384, 0.6504)
Mo (0.7616, 0.7616, 0.3496)

[2]
KRe2Mo: optimized geometry, PBE.

Final energy in eV per atom: -7.569
E above lowest polymorph in meV per atom: 895
E_form in eV/atom: 1.64
DOS at the Fermi energy in states/eV per atom: 1.0848

Cell: 2.8045 4.8550 5.0478 Å, 90.00 90.00 90.00°
Atoms (fractional coordinates):
K (0.0000, 0.0000, 0.0000)
Re (0.0000, 0.5000, 0.5000)
Re (0.5000, 0.0000, 0.5000)
Mo (0.5000, 0.5000, 0.0000)

[3]
KRe2Mo: optimized geometry, PBE.

Final energy in eV per atom: -7.832
E above lowest polymorph in meV per atom: 632
E_form in eV/atom: 1.37
DOS at the Fermi energy in states/eV per atom: 1.0642

Cell: 6.0258 6.0258 6.0258 Å, 153.91 129.02 58.15°
Atoms (fractional coordinates):
K (0.0000, 0.0000, 0.0000)
Re (0.2822, 0.7822, 0.5000)
Re (0.7178, 0.2178, 0.5000)
Mo (0.5000, 0.5000, 0.0000)

[4]
KRe2Mo: optimized geometry, PBE.

Final energy in eV per atom: -7.691
E above lowest polymorph in meV per atom: 773
E_form in eV/atom: 1.52
DOS at the Fermi energy in states/eV per atom: 1.2355

Cell: 4.5741 4.5741 4.5741 Å, 60.00 60.00 60.00°
Atoms (fractional coordinates):
K (0.0000, 0.0000, 0.0000)
Re (0.2500, 0.2500, 0.2500)
Re (0.5000, 0.5000, 0.5000)
Mo (0.7500, 0.7500, 0.7500)

[5]
KRe2Mo: optimized geometry, PBE.

Final energy in eV per atom: -7.909
E above lowest polymorph in meV per atom: 555
E_form in eV/atom: 1.30
DOS at the Fermi energy in states/eV per atom: 1.1005

Cell: 6.1410 6.1410 6.1410 Å, 154.81 127.38 59.20°
Atoms (fractional coordinates):
K (0.0000, 0.0000, 0.0000)
Re (0.5056, 0.5056, 0.0000)
Re (0.7132, 0.2132, 0.5000)
Mo (0.2904, 0.7904, 0.5000)

[6]
KRe2Mo: optimized geometry, PBE.

Final energy in eV per atom: -8.421
E above lowest polymorph in meV per atom: 42
E_form in eV/atom: 0.78
DOS at the Fermi energy in states/eV per atom: 0.8871

Cell: 10.8188 10.8188 10.8188 Å, 14.95 14.95 14.95°
Atoms (fractional coordinates):
K (0.0000, 0.0000, 0.0000)
Re (0.4953, 0.4953, 0.4953)
Re (0.7622, 0.7622, 0.7622)
Mo (0.2341, 0.2341, 0.2341)

[7]
KReMo2: optimized geometry, PBE.

Final energy in eV per atom: -7.672
E above lowest polymorph in meV per atom: 395
E_form in eV/atom: 1.13
DOS at the Fermi energy in states/eV per atom: 1.0306

Cell: 4.8116 4.8116 7.5123 Å, 91.09 91.09 31.38°
Atoms (fractional coordinates):
K (0.0000, 0.0000, 0.0000)
Re (0.7573, 0.7573, 0.3381)
Mo (0.2394, 0.2394, 0.6516)
Mo (0.5023, 0.5023, 0.4846)

[8]
KRe2Mo: optimized geometry, PBE.

Final energy in eV per atom: -8.262
E above lowest polymorph in meV per atom: 202
E_form in eV/atom: 0.94
DOS at the Fermi energy in states/eV per atom: 0.8160

Cell: 2.7885 4.0494 7.9987 Å, 90.00 90.00 90.00°
Atoms (fractional coordinates):
K (0.0000, 0.0000, 0.0000)
Re (0.5000, 0.5000, 0.3506)
Re (0.5000, 0.5000, 0.6494)
Mo (0.0000, 0.0000, 0.5000)